Entry 1:
{
  "formula": "SrPdSe",
  "functional": "PBE",
  "state": "relaxed",
  "formation_energy_uncorrected_ev_per_atom": -1.1759,
  "volume_a3_per_cell": 150.3,
  "rho_g_cm3": 6.0,
  "lattice_angstrom": [[5.015, 0.000, -0.001], [1.318, 4.833, 0.001], [3.703, -4.841, 6.198]],
  "species": ["Sr", "Sr", "Pd", "Pd", "Se", "Se"],
  "frac_coords": [[0.358, 0.754, 0.022], [0.538, 0.936, 0.522], [0.448, 0.345, 0.272], [0.948, 0.845, 0.772], [0.951, 0.348, 0.522], [0.945, 0.341, 0.022]]
}


Entry 2:
{
  "formula": "Na2ZnGaAu2",
  "functional": "PBE",
  "state": "relaxed",
  "formation_enthalpy_0k_ev_per_fu": -1.550,
  "volume_a3_per_cell": 281.7,
  "rho_g_cm3": 6.8,
  "lattice_angstrom": [[-5.792, -0.125, -1.810], [-0.220, -7.181, 1.197], [1.111, 4.710, 6.297]],
  "species": ["Na", "Na", "Na", "Na", "Zn", "Zn", "Ga", "Ga", "Au", "Au", "Au", "Au"],
  "frac_coords": [[0.677, 0.896, 0.354], [0.177, 0.458, 0.354], [0.823, 0.542, 0.646], [0.323, 0.104, 0.646], [0.750, 0.500, 0.000], [0.250, 0.500, 0.000], [0.250, 0.000, 0.000], [0.750, 0.000, 0.000], [0.413, 0.664, 0.826], [0.587, 0.336, 0.174], [0.087, 0.838, 0.174], [0.913, 0.162, 0.826]]
}


Entry 3:
{
  "formula": "HfMgBr2",
  "functional": "PBE",
  "state": "relaxed",
  "formation_energy_uncorrected_ev_per_atom": -0.3171,
  "volume_a3_per_cell": 96.5,
  "rho_g_cm3": 6.2,
  "lattice_angstrom": [[7.668, -1.672, 4.867], [8.666, 1.126, 2.984], [6.866, 1.569, 5.973]],
  "species": ["Mg", "Hf", "Br", "Br"],
  "frac_coords": [[0.500, 0.500, 0.500], [0.000, 0.000, 0.000], [0.895, 0.895, 0.895], [0.105, 0.105, 0.105]]
}


Entry 4:
{
  "formula": "Nd3Sm2Y",
  "functional": "PBE",
  "state": "relaxed",
  "formation_enthalpy_0k_ev_per_fu": 0.400,
  "volume_a3_per_cell": 416.1,
  "rho_g_cm3": 6.6,
  "lattice_angstrom": [[3.606, 0.000, 0.000], [0.000, 9.741, 1.262], [0.000, -0.745, 11.749]],
  "species": ["Nd", "Nd", "Nd", "Nd", "Nd", "Nd", "Sm", "Sm", "Sm", "Sm", "Y", "Y"],
  "frac_coords": [[0.750, 0.923, 0.119], [0.250, 0.077, 0.881], [0.750, 0.762, 0.860], [0.250, 0.238, 0.140], [0.250, 0.401, 0.398], [0.750, 0.599, 0.602], [0.250, 0.440, 0.856], [0.750, 0.560, 0.144], [0.750, 0.082, 0.379], [0.250, 0.918, 0.621], [0.250, 0.759, 0.356], [0.750, 0.241, 0.644]]
}